Here is an optimized crystal structure of Ac2Pr2IrRh2 from Alexandria. Energies are from GGA-PBE.

Calculated values
* SG: C2/m (12)
* crystal system: monoclinic
* formation energy: -3.9 eV/f.u.

```
Ac2Pr2IrRh2
1.0
7.156 -2.048 0.000
7.156 2.048 0.000
-3.989 0.000 7.148
Ac Pr Ir Rh
2 2 1 2
direct
0.034 0.034 0.265
0.966 0.966 0.735
0.281 0.281 0.207
0.719 0.719 0.793
0.500 0.500 0.500
0.384 0.384 0.959
0.616 0.616 0.041
```

***

Here is an optimized crystal structure of CaNbGeTeP from Alexandria. Energies are from GGA-PBE.

Calculated values
* uncorrected formation energy: -54.2 kJ/mol of atoms
* distance to the lowest polymorph of the same formula: 4.3 kJ/mol of atoms
* SG: Cm (8)
* crystal system: monoclinic

```
CaNbGeTeP
1.0
4.029 -1.944 0.000
4.029 1.944 0.000
-1.878 0.000 7.467
Ca Nb Ge Te P
1 1 1 1 1
direct
0.000 0.000 0.000
0.889 0.889 0.481
0.378 0.378 0.230
0.620 0.620 0.728
0.180 0.180 0.408
```

***

Here is an optimized crystal structure of ZrNbReOs from Alexandria. Energies are from GGA-PBE.

Calculated values
* distance to the lowest polymorph of the same formula: 0.8 kJ/mol of atoms
* SG: Pmmm (47)
* crystal system: orthorhombic
* formation energy: -1.3 eV/f.u.

```
ZrNbReOs
1.0
3.239 0.000 0.000
0.000 4.569 0.000
0.000 0.000 4.616
Zr Nb Re Os
1 1 1 1
direct
0.000 0.000 0.000
0.000 0.500 0.500
0.500 0.000 0.500
0.500 0.500 0.000
```

***

Here is an optimized crystal structure of BeTe2Mo from Alexandria. Energies are from GGA-PBE.

Calculated values
* uncorrected formation energy: 71.4 kJ/mol of atoms
* SG: Cmmm (65)
* crystal system: orthorhombic

```
BeTe2Mo
1.0
1.739 -2.933 0.000
1.739 2.933 0.000
0.000 0.000 8.015
Be Te Mo
1 2 1
direct
0.000 0.000 0.000
0.500 0.500 0.231
0.500 0.500 0.769
0.000 0.000 0.500
```

***

Here is an optimized crystal structure of Mg2CdAgAu5 from Alexandria. Energies are from GGA-PBE.

Calculated values
* SG: I4/mcm (140)
* crystal system: tetragonal
* formation energy: -0.8 eV/f.u.

```
Mg2CdAgAu5
1.0
-4.091 4.091 5.475
4.091 -4.091 5.475
4.091 4.091 -5.475
Mg Cd Ag Au
4 2 2 10
direct
0.115 0.615 0.731
0.385 0.115 0.500
0.615 0.885 0.500
0.885 0.385 0.269
0.250 0.250 0.000
0.750 0.750 0.000
0.250 0.750 0.500
0.750 0.250 0.500
0.000 0.000 0.000
0.069 0.167 0.500
0.167 0.667 0.098
0.333 0.431 0.500
0.431 0.931 0.098
0.500 0.500 0.000
0.569 0.069 0.902
0.667 0.569 0.500
0.833 0.333 0.902
0.931 0.833 0.500
```

***

Here is an optimized crystal structure of Zr6In2Pd from Alexandria. Energies are from GGA-PBE.

Calculated values
* SG: P4_2/mnm (136)
* crystal system: tetragonal
* formation energy: -2.2 eV/f.u.

```
Zr6In2Pd
1.0
9.429 0.000 0.000
0.000 9.429 0.000
0.000 0.000 4.452
Zr In Pd
12 4 2
direct
0.014 0.330 0.000
0.140 0.860 0.500
0.170 0.514 0.500
0.330 0.014 0.000
0.360 0.360 0.000
0.486 0.830 0.500
0.514 0.170 0.500
0.640 0.640 0.000
0.670 0.986 0.000
0.830 0.486 0.500
0.860 0.140 0.500
0.986 0.670 0.000
0.190 0.190 0.500
0.310 0.690 0.000
0.690 0.310 0.000
0.810 0.810 0.500
0.000 0.000 0.000
0.500 0.500 0.500
```

***

Here is an optimized crystal structure of TcOs2OF from Alexandria. Energies are from GGA-PBE.

Calculated values
* uncorrected formation energy: 126.2 kJ/mol of atoms
* SG: P4/mmm (123)
* crystal system: tetragonal

```
TcOs2OF
1.0
4.819 0.000 0.000
0.000 4.819 0.000
0.000 0.000 3.763
Tc Os O F
1 2 1 1
direct
0.000 0.000 0.000
0.000 0.500 0.000
0.500 0.000 0.000
0.000 0.000 0.500
0.500 0.500 0.500
```

***

Here is an optimized crystal structure of BP from Alexandria. Energies are from GGA-PBE.

Calculated values
* SG: Pmmn (59)
* crystal system: orthorhombic
* formation energy: -0.4 eV/f.u.

```
BP
1.0
3.211 0.000 0.000
0.000 9.898 0.000
0.000 0.000 4.877
B P
6 6
direct
0.250 0.104 0.114
0.250 0.396 0.114
0.250 0.750 0.390
0.750 0.250 0.610
0.750 0.604 0.886
0.750 0.896 0.886
0.250 0.250 0.381
0.250 0.601 0.121
0.250 0.899 0.121
0.750 0.101 0.879
0.750 0.399 0.879
0.750 0.750 0.619
```

***

Here is an optimized crystal structure of Zr2ScBr from Alexandria. Energies are from GGA-PBE.

Calculated values
* uncorrected formation energy: -14.4 kJ/mol of atoms
* SG: Cm (8)
* crystal system: monoclinic

```
Zr2ScBr
1.0
5.178 -1.633 0.000
5.178 1.633 0.000
-2.296 0.000 5.418
Zr Sc Br
2 1 1
direct
0.000 0.000 0.000
0.231 0.231 0.841
0.817 0.817 0.361
0.563 0.563 0.428
```

***

Here is an optimized crystal structure of CrFeSe2 from Alexandria. Energies are from GGA-PBE.

Calculated values
* uncorrected formation energy: -12.2 kJ/mol of atoms
* distance to the lowest polymorph of the same formula: 6.4 kJ/mol of atoms
* SG: R-3m (166)
* crystal system: trigonal

```
CrFeSe2
1.0
1.849 1.068 5.993
-1.849 1.068 5.993
0.000 -2.135 5.993
Cr Fe Se
1 1 2
direct
0.000 0.000 0.000
0.500 0.500 0.500
0.250 0.250 0.250
0.750 0.750 0.750
```

***

Here is an optimized crystal structure of BeNi2Os from Alexandria. Energies are from GGA-PBE.

Calculated values
* SG: P2/m (10)
* crystal system: monoclinic
* formation energy: -0.1 eV/f.u.

```
BeNi2Os
1.0
2.539 0.000 0.000
0.000 3.780 0.000
-1.082 0.000 4.655
Be Ni Os
1 2 1
direct
0.000 0.000 0.000
0.403 0.500 0.237
0.597 0.500 0.763
0.000 0.000 0.500
```

***

Here is an optimized crystal structure of KYW from Alexandria. Energies are from GGA-PBE.

Calculated values
* distance to the lowest polymorph of the same formula: 0.0 kJ/mol of atoms
* SG: Fmm2 (42)
* crystal system: orthorhombic
* formation energy: 3.1 eV/f.u.

```
KYW
1.0
0.000 2.326 8.951
2.007 0.000 8.951
2.007 2.326 0.000
K Y W
1 1 1
direct
0.000 0.000 0.000
0.288 0.288 0.712
0.667 0.667 0.333
```

***

Here is an optimized crystal structure of Ce2PmTl4 from Alexandria. Energies are from GGA-PBE.

Calculated values
* distance to the lowest polymorph of the same formula: 0.0 kJ/mol of atoms
* SG: I4/mmm (139)
* crystal system: tetragonal
* formation energy: -1.0 eV/f.u.

```
Ce2PmTl4
1.0
-3.930 3.930 3.656
3.930 -3.930 3.656
3.930 3.930 -3.656
Ce Pm Tl
2 1 4
direct
0.000 0.500 0.500
0.500 0.000 0.500
0.000 0.000 0.000
0.000 0.000 0.500
0.000 0.500 0.000
0.500 0.000 0.000
0.500 0.500 0.500
```

***

Here is an optimized crystal structure of RbBe3Zn from Alexandria. Energies are from GGA-PBE.

Calculated values
* distance to the lowest polymorph of the same formula: 132.8 kJ/mol of atoms
* SG: Pm-3m (221)
* crystal system: cubic
* formation energy: 11.3 eV/f.u.

```
RbBe3Zn
1.0
6.646 0.000 0.000
0.000 6.646 0.000
0.000 0.000 6.646
Rb Be Zn
1 3 1
direct
0.000 0.000 0.000
0.000 0.000 0.500
0.000 0.500 0.000
0.500 0.000 0.000
0.500 0.500 0.500
```

***

Here is an optimized crystal structure of TbNdZr from Alexandria. Energies are from GGA-PBE.

Calculated values
* distance to the lowest polymorph of the same formula: 1.3 kJ/mol of atoms
* SG: P3m1 (156)
* crystal system: trigonal
* formation energy: 0.4 eV/f.u.

```
TbNdZr
1.0
3.453 0.000 0.000
-1.727 2.990 0.000
0.000 0.000 8.544
Tb Nd Zr
1 1 1
direct
0.000 0.000 0.000
0.667 0.333 0.374
0.333 0.667 0.692
```

***

Here is an optimized crystal structure of MgMo2W from Alexandria. Energies are from GGA-PBE.

Calculated values
* SG: F-43m (216)
* crystal system: cubic
* formation energy: 1.7 eV/f.u.

```
MgMo2W
1.0
0.000 3.189 3.189
3.189 0.000 3.189
3.189 3.189 0.000
Mg Mo W
1 2 1
direct
0.000 0.000 0.000
0.250 0.250 0.250
0.500 0.500 0.500
0.750 0.750 0.750
```

***

Here is an optimized crystal structure of TiTc12B6 from Alexandria. Energies are from GGA-PBE.

Calculated values
* SG: Im-3 (204)
* crystal system: cubic
* formation energy: -6.2 eV/f.u.

```
TiTc12B6
1.0
-3.836 3.836 3.836
3.836 -3.836 3.836
3.836 3.836 -3.836
Ti Tc B
1 12 6
direct
0.000 0.000 0.000
0.116 0.304 0.813
0.187 0.491 0.304
0.187 0.884 0.696
0.304 0.187 0.491
0.304 0.813 0.116
0.491 0.304 0.187
0.509 0.696 0.813
0.696 0.187 0.884
0.696 0.813 0.509
0.813 0.116 0.304
0.813 0.509 0.696
0.884 0.696 0.187
0.115 0.500 0.615
0.385 0.885 0.500
0.500 0.385 0.885
0.500 0.615 0.115
0.615 0.115 0.500
0.885 0.500 0.385
```

***

Here is an optimized crystal structure of Mn2BiRh2 from Alexandria. Energies are from GGA-PBE.

Calculated values
* distance to the lowest polymorph of the same formula: 0.0 kJ/mol of atoms
* SG: P4/mbm (127)
* crystal system: tetragonal
* formation energy: 0.3 eV/f.u.

```
Mn2BiRh2
1.0
7.441 0.000 0.000
0.000 7.441 0.000
0.000 0.000 3.065
Mn Bi Rh
4 2 4
direct
0.155 0.345 0.000
0.345 0.845 0.000
0.655 0.155 0.000
0.845 0.655 0.000
0.000 0.000 0.500
0.500 0.500 0.500
0.136 0.636 0.500
0.364 0.136 0.500
0.636 0.864 0.500
0.864 0.364 0.500
```

***

Here is an optimized crystal structure of ScCrAs2Se from Alexandria. Energies are from GGA-PBE.

Calculated values
* uncorrected formation energy: -4.6 kJ/mol of atoms
* distance to the lowest polymorph of the same formula: 0.0 kJ/mol of atoms
* SG: P4/mmm (123)
* crystal system: tetragonal

```
ScCrAs2Se
1.0
4.570 0.000 0.000
0.000 4.570 0.000
0.000 0.000 5.185
Sc Cr As Se
1 1 2 1
direct
0.000 0.000 0.000
0.500 0.500 0.500
0.000 0.500 0.500
0.500 0.000 0.500
0.500 0.500 0.000
```

***

Here is an optimized crystal structure of Pr6Nd8Dy from Alexandria. Energies are from GGA-PBE.

Calculated values
* distance to the lowest polymorph of the same formula: 0.0 kJ/mol of atoms
* SG: R-3 (148)
* crystal system: trigonal
* formation energy: 1.6 eV/f.u.

```
Pr6Nd8Dy
1.0
4.680 2.702 7.078
-4.680 2.702 7.078
0.000 -5.404 7.078
Pr Nd Dy
6 8 1
direct
0.039 0.739 0.598
0.261 0.402 0.961
0.402 0.961 0.261
0.598 0.039 0.739
0.739 0.598 0.039
0.961 0.261 0.402
0.077 0.077 0.077
0.216 0.252 0.613
0.252 0.613 0.216
0.387 0.784 0.748
0.613 0.216 0.252
0.748 0.387 0.784
0.784 0.748 0.387
0.923 0.923 0.923
0.500 0.500 0.500
```

***

Here is an optimized crystal structure of Tl2Pd4S from Alexandria. Energies are from GGA-PBE.

Calculated values
* uncorrected formation energy: -6.2 kJ/mol of atoms
* SG: I4/mmm (139)
* crystal system: tetragonal

```
Tl2Pd4S
1.0
-2.262 2.262 7.184
2.262 -2.262 7.184
2.262 2.262 -7.184
Tl Pd S
2 4 1
direct
0.154 0.154 0.000
0.846 0.846 0.000
0.000 0.500 0.500
0.341 0.341 0.000
0.500 0.000 0.500
0.659 0.659 0.000
0.500 0.500 0.000
```

***

Here is an optimized crystal structure of SrTa3Fe from Alexandria. Energies are from GGA-PBE.

Calculated values
* distance to the lowest polymorph of the same formula: 246.4 kJ/mol of atoms
* SG: Pm-3m (221)
* crystal system: cubic
* formation energy: 16.9 eV/f.u.

```
SrTa3Fe
1.0
4.778 0.000 0.000
0.000 4.778 0.000
0.000 0.000 4.778
Sr Ta Fe
1 3 1
direct
0.000 0.000 0.000
0.000 0.000 0.500
0.000 0.500 0.000
0.500 0.000 0.000
0.500 0.500 0.500
```

***

Here is an optimized crystal structure of PmSm15Tl4 from Alexandria. Energies are from GGA-PBE.

Calculated values
* SG: P4/mmm (123)
* crystal system: tetragonal
* formation energy: -2.9 eV/f.u.

```
PmSm15Tl4
1.0
4.942 0.000 0.000
0.000 4.942 0.000
0.000 0.000 25.309
Pm Sm Tl
1 15 4
direct
0.000 0.000 0.000
0.000 0.500 0.106
0.000 0.500 0.304
0.000 0.500 0.500
0.000 0.500 0.696
0.000 0.500 0.894
0.500 0.000 0.106
0.500 0.000 0.304
0.500 0.000 0.500
0.500 0.000 0.696
0.500 0.000 0.894
0.500 0.500 0.000
0.500 0.500 0.206
0.500 0.500 0.402
0.500 0.500 0.598
0.500 0.500 0.794
0.000 0.000 0.207
0.000 0.000 0.402
0.000 0.000 0.598
0.000 0.000 0.793
```